1.
A plane-wave DFT calculation with PBE was carried out for an optimized crystal structure of K2Si2Pb.

It has space group P4/mbm (No. 127), with a = 7.396 Å, b = 7.396 Å, c = 5.562 Å, α = 90.00°, β = 90.00° and γ = 90.00°. The distinct sites, in fractional coordinates, are K at (0.187, 0.313, 0.000), Si at (0.109, 0.609, 0.500) and Pb at (0.000, 0.000, 0.500).

The crystal system is tetragonal.

2.
A plane-wave DFT calculation with PBE was carried out for an optimized crystal structure of K2Si2Pb.

It has space group I4/mmm (No. 139), with a = 4.779 Å, b = 4.779 Å, c = 13.668 Å, α = 90.00°, β = 90.00° and γ = 90.00°. The distinct sites, in fractional coordinates, are K at (0.000, 0.500, 0.250), Si at (0.000, 0.000, 0.080) and Pb at (0.000, 0.000, 0.500).

The crystal system is tetragonal.

The structure with the least stability is 2.

1.
A plane-wave DFT calculation with PBE was carried out for an optimized crystal structure of KSiPb.

It has space group F-43m (No. 216), with a = 7.271 Å, b = 7.271 Å, c = 7.271 Å, α = 90.00°, β = 90.00° and γ = 90.00°. The distinct sites, in fractional coordinates, are K at (0.000, 0.000, 0.000), Si at (0.250, 0.250, 0.750) and Pb at (0.000, 0.000, 0.500).

The crystal system is cubic.

2.
A plane-wave DFT calculation with PBE was carried out for an optimized crystal structure of KSiPb.

It has space group F-43m (No. 216), with a = 7.361 Å, b = 7.361 Å, c = 7.361 Å, α = 90.00°, β = 90.00° and γ = 90.00°. The distinct sites, in fractional coordinates, are K at (0.000, 0.000, 0.000), Si at (0.250, 0.250, 0.750) and Pb at (0.250, 0.250, 0.250).

The crystal system is cubic.

The structure with the least stability is 2.

1.
A plane-wave DFT calculation with PBE was carried out for an optimized crystal structure of KSiPb.

It has space group P3m1 (No. 156), with a = 4.4730 Å, b = 4.4730 Å, c = 5.8112 Å, α = 90.00°, β = 90.00° and γ = 120.00°. The distinct sites, in fractional coordinates, are K at (0.0000, 0.0000, 0.0000), Si at (0.6667, 0.3333, 0.6119) and Pb at (0.3333, 0.6667, 0.4502).

The crystal system is trigonal.

2.
A plane-wave DFT calculation with PBE was carried out for an optimized crystal structure of KSiPb.

It has space group Cmcm (No. 63), with a = 5.542 Å, b = 17.229 Å, c = 3.838 Å, α = 90.00°, β = 90.00° and γ = 90.00°. The distinct sites, in fractional coordinates, are K at (0.000, 0.096, 0.250), Si at (0.000, 0.462, 0.250) and Pb at (0.000, 0.296, 0.250).

The crystal system is orthorhombic.

The structure with the least stability is 1.

1.
A plane-wave DFT calculation with PBE was carried out for an optimized crystal structure of KSiPb.

It has space group P-6m2 (No. 187), with a = 5.3883 Å, b = 5.3883 Å, c = 3.2901 Å, α = 90.00°, β = 90.00° and γ = 120.00°. The distinct sites, in fractional coordinates, are K at (0.0000, 0.0000, 0.0000), Si at (0.3333, 0.6667, 0.5000) and Pb at (0.6667, 0.3333, 0.5000).

The crystal system is hexagonal.

2.
A plane-wave DFT calculation with PBE was carried out for an optimized crystal structure of KSiPb.

It has space group I4mm (No. 107), with a = 3.614 Å, b = 3.614 Å, c = 13.636 Å, α = 90.00°, β = 90.00° and γ = 90.00°. The distinct sites, in fractional coordinates, are K at (0.000, 0.000, 0.000), Si at (0.000, 0.000, 0.326) and Pb at (0.000, 0.000, 0.712).

The crystal system is tetragonal.

The structure with the least stability is 1.

1.
A plane-wave DFT calculation with PBE was carried out for an optimized crystal structure of KSiPb3.

It has space group Pm-3m (No. 221), with a = 5.874 Å, b = 5.874 Å, c = 5.874 Å, α = 90.00°, β = 90.00° and γ = 90.00°. The distinct sites, in fractional coordinates, are K at (0.000, 0.000, 0.000), Si at (0.500, 0.500, 0.500) and Pb at (0.000, 0.000, 0.500).

The crystal system is cubic.

2.
A plane-wave DFT calculation with PBE was carried out for an optimized crystal structure of KSiPb3.

It has space group Pm-3m (No. 221), with a = 5.597 Å, b = 5.597 Å, c = 5.597 Å, α = 90.00°, β = 90.00° and γ = 90.00°. The distinct sites, in fractional coordinates, are K at (0.000, 0.000, 0.000), Si at (0.500, 0.500, 0.500) and Pb at (0.000, 0.500, 0.500).

The crystal system is cubic.

The structure with the least stability is 1.

1.
A plane-wave DFT calculation with PBE was carried out for an optimized crystal structure of KSi2Pb2.

It has space group I4/mmm (No. 139), with a = 5.058 Å, b = 5.058 Å, c = 11.372 Å, α = 90.00°, β = 90.00° and γ = 90.00°. The distinct sites, in fractional coordinates, are K at (0.000, 0.000, 0.000), Si at (0.000, 0.000, 0.396) and Pb at (0.000, 0.500, 0.250).

The crystal system is tetragonal.

2.
A plane-wave DFT calculation with PBE was carried out for an optimized crystal structure of KSi2Pb2.

It has space group P4/mbm (No. 127), with a = 8.430 Å, b = 8.430 Å, c = 4.097 Å, α = 90.00°, β = 90.00° and γ = 90.00°. The distinct sites, in fractional coordinates, are K at (0.000, 0.000, 0.000), Si at (0.101, 0.399, 0.000) and Pb at (0.153, 0.653, 0.500).

The crystal system is tetragonal.

3.
A plane-wave DFT calculation with PBE was carried out for an optimized crystal structure of KSi2Pb2.

It has space group I4/mmm (No. 139), with a = 4.444 Å, b = 4.444 Å, c = 15.931 Å, α = 90.00°, β = 90.00° and γ = 90.00°. The distinct sites, in fractional coordinates, are K at (0.000, 0.000, 0.000), Si at (0.000, 0.500, 0.250) and Pb at (0.000, 0.000, 0.362).

The crystal system is tetragonal.

The structure with the least stability is 3.

1.
A plane-wave DFT calculation with PBE was carried out for an optimized crystal structure of KSi3Pb.

It has space group Pm-3m (No. 221), with a = 5.374 Å, b = 5.374 Å, c = 5.374 Å, α = 90.00°, β = 90.00° and γ = 90.00°. The distinct sites, in fractional coordinates, are K at (0.000, 0.000, 0.000), Si at (0.000, 0.000, 0.500) and Pb at (0.500, 0.500, 0.500).

The crystal system is cubic.

2.
A plane-wave DFT calculation with PBE was carried out for an optimized crystal structure of KSi3Pb.

It has space group Pm-3m (No. 221), with a = 5.495 Å, b = 5.495 Å, c = 5.495 Å, α = 90.00°, β = 90.00° and γ = 90.00°. The distinct sites, in fractional coordinates, are K at (0.000, 0.000, 0.000), Si at (0.000, 0.500, 0.500) and Pb at (0.500, 0.500, 0.500).

The crystal system is cubic.

The structure with the least stability is 1.

1.
A plane-wave DFT calculation with PBE was carried out for an optimized crystal structure of KSnPb3.

It has space group Pmn2_1 (No. 31), with a = 7.077 Å, b = 7.140 Å, c = 7.129 Å, α = 90.00°, β = 90.00° and γ = 90.00°. The distinct sites, in fractional coordinates, are K at (0.000, 0.244, 0.000), Sn at (0.000, 0.598, 0.653), Pb at (0.000, 0.897, 0.354) and Pb at (0.250, 0.260, 0.498).

The crystal system is orthorhombic.

2.
A plane-wave DFT calculation with PBE was carried out for an optimized crystal structure of KSnPb3.

It has space group Pm-3m (No. 221), with a = 5.905 Å, b = 5.905 Å, c = 5.905 Å, α = 90.00°, β = 90.00° and γ = 90.00°. The distinct sites, in fractional coordinates, are K at (0.000, 0.000, 0.000), Sn at (0.500, 0.500, 0.500) and Pb at (0.000, 0.000, 0.500).

The crystal system is cubic.

The structure with the least stability is 2.

1.
A plane-wave DFT calculation with PBE was carried out for an optimized crystal structure of KSnPb3.

It has space group C2/c (No. 15), with a = 17.801 Å, b = 11.375 Å, c = 7.263 Å, α = 90.00°, β = 102.54° and γ = 90.00°. The distinct sites, in fractional coordinates, are K at (0.000, 0.034, 0.250), K at (0.000, 0.356, 0.750), Sn at (0.083, 0.335, 0.292), Pb at (0.185, 0.167, 0.080), Pb at (0.185, 0.171, 0.596) and Pb at (0.186, 0.497, 0.595).

The crystal system is monoclinic.

2.
A plane-wave DFT calculation with PBE was carried out for an optimized crystal structure of KSnPb3.

It has space group Pm-3m (No. 221), with a = 5.955 Å, b = 5.955 Å, c = 5.955 Å, α = 90.00°, β = 90.00° and γ = 90.00°. The distinct sites, in fractional coordinates, are K at (0.000, 0.000, 0.000), Sn at (0.500, 0.500, 0.500) and Pb at (0.000, 0.500, 0.500).

The crystal system is cubic.

The structure with the least stability is 2.

1.
A plane-wave DFT calculation with PBE was carried out for an optimized crystal structure of KSn2Pb2.

It has space group I4/mmm (No. 139), with a = 5.244 Å, b = 5.244 Å, c = 13.122 Å, α = 90.00°, β = 90.00° and γ = 90.00°. The distinct sites, in fractional coordinates, are K at (0.000, 0.000, 0.000), Sn at (0.000, 0.000, 0.387) and Pb at (0.000, 0.500, 0.250).

The crystal system is tetragonal.

2.
A plane-wave DFT calculation with PBE was carried out for an optimized crystal structure of KSn2Pb2.

It has space group P4/mbm (No. 127), with a = 9.538 Å, b = 9.538 Å, c = 3.620 Å, α = 90.00°, β = 90.00° and γ = 90.00°. The distinct sites, in fractional coordinates, are K at (0.000, 0.000, 0.000), Sn at (0.158, 0.342, 0.500) and Pb at (0.134, 0.634, 0.000).

The crystal system is tetragonal.

The structure with the least stability is 2.

1.
A plane-wave DFT calculation with PBE was carried out for an optimized crystal structure of K2Sn2Pb.

It has space group I4/mmm (No. 139), with a = 4.984 Å, b = 4.984 Å, c = 15.087 Å, α = 90.00°, β = 90.00° and γ = 90.00°. The distinct sites, in fractional coordinates, are K at (0.000, 0.500, 0.250), Sn at (0.000, 0.000, 0.088) and Pb at (0.000, 0.000, 0.500).

The crystal system is tetragonal.

2.
A plane-wave DFT calculation with PBE was carried out for an optimized crystal structure of K2Sn2Pb.

It has space group C2/c (No. 15), with a = 11.633 Å, b = 6.982 Å, c = 9.712 Å, α = 90.00°, β = 105.38° and γ = 90.00°. The distinct sites, in fractional coordinates, are K at (0.144, 0.135, 0.146), Sn at (0.147, 0.362, 0.505) and Pb at (0.000, 0.398, 0.750).

The crystal system is monoclinic.

The structure with the least stability is 1.

1.
A plane-wave DFT calculation with PBE was carried out for an optimized crystal structure of KTaPb2.

It has space group C2/m (No. 12), with a = 7.382 Å, b = 9.132 Å, c = 3.149 Å, α = 90.00°, β = 98.42° and γ = 90.00°. The distinct sites, in fractional coordinates, are K at (0.000, 0.000, 0.000), Ta at (0.000, 0.500, 0.000) and Pb at (0.250, 0.250, 0.500).

The crystal system is monoclinic.

2.
A plane-wave DFT calculation with PBE was carried out for an optimized crystal structure of KTaPb2.

It has space group P4mm (No. 99), with a = 3.190 Å, b = 3.190 Å, c = 11.369 Å, α = 90.00°, β = 90.00° and γ = 90.00°. The distinct sites, in fractional coordinates, are K at (0.000, 0.000, 0.000), Ta at (0.500, 0.500, 0.736), Pb at (0.000, 0.000, 0.543) and Pb at (0.500, 0.500, 0.282).

The crystal system is tetragonal.

3.
A plane-wave DFT calculation with PBE was carried out for an optimized crystal structure of KTaPb2.

It has space group Fm-3m (No. 225), with a = 7.541 Å, b = 7.541 Å, c = 7.541 Å, α = 90.00°, β = 90.00° and γ = 90.00°. The distinct sites, in fractional coordinates, are K at (0.000, 0.000, 0.000), Ta at (0.000, 0.000, 0.500) and Pb at (0.250, 0.250, 0.250).

The crystal system is cubic.

4.
A plane-wave DFT calculation with PBE was carried out for an optimized crystal structure of KTaPb2.

It has space group F-43m (No. 216), with a = 7.768 Å, b = 7.768 Å, c = 7.768 Å, α = 90.00°, β = 90.00° and γ = 90.00°. The distinct sites, in fractional coordinates, are K at (0.000, 0.000, 0.000), Ta at (0.250, 0.250, 0.750), Pb at (0.000, 0.000, 0.500) and Pb at (0.250, 0.250, 0.250).

The crystal system is cubic.

The structure with the least stability is 4.